The following is a DFT calculation (PBE) of a relaxed AcPr2Sn crystal.

a b c (Å): 4.447 12.697 10.154
angles (deg): 90.00 90.00 90.00
Sites, in units of the cell vectors:
Ac (0.000, 0.057, 0.250)
Ac (0.000, 0.943, 0.750)
Ac (0.500, 0.443, 0.750)
Ac (0.500, 0.557, 0.250)
Pr (0.000, 0.358, 0.042)
Pr (0.000, 0.358, 0.458)
Pr (0.000, 0.642, 0.542)
Pr (0.000, 0.642, 0.958)
Pr (0.500, 0.142, 0.542)
Pr (0.500, 0.142, 0.958)
Pr (0.500, 0.858, 0.042)
Pr (0.500, 0.858, 0.458)
Sn (0.000, 0.234, 0.750)
Sn (0.000, 0.766, 0.250)
Sn (0.500, 0.266, 0.250)
Sn (0.500, 0.734, 0.750)

VASP energy	-4.79	eV/atom
calculated density	7.3	g/cm3
formation energy from the elements	-0.38	eV/atom
V	35.83	Å³ per atom